1.
4
Lattice="-3.8515 -4.7969 1.8898 -2.5196 -3.8648 4.4867 -4.9444 -2.3536 3.3807" Properties=species:S:1:pos:R:3 comment="PdSeN2 PBE-GGA optimized geometry" dos_at_fermi_per_ev_fu=1.8 sg="No. 166" energy_ev_per_cell=-21.14 raw_formation_energy_ev_per_fu=4.18 pbc="T T T"
N -10.1028 -9.8348 8.7116
N -1.2127 -1.1805 1.0457
Se -5.6577 -5.5077 4.8786
Pd 0.0000 0.0000 0.0000

2.
7
Lattice="4.1656 0.0000 0.5528 0.0000 3.5972 0.0000 0.6252 0.0000 11.2592" Properties=species:S:1:pos:R:3 comment="Tb3Ga2Hg2 PBE-GGA optimized geometry" dos_at_fermi_per_ev_fu=6.3 sg="No. 65" formation_energy_mev_per_atom=-526 energy_ev_per_cell=-24.23 pbc="T T T"
Tb 0.0000 0.0000 0.0000
Tb 3.6849 0.0000 4.1751
Tb 1.1060 0.0000 7.6369
Ga 3.3435 1.7986 6.7471
Hg 2.9396 1.7986 9.7906
Ga 1.4473 1.7986 5.0649
Hg 1.8512 1.7986 2.0215